# Zr2AgIr, optimized geometry, DFT PBE-GGA
data_Zr2AgIr
_chemical_formula_sum 'Zr4 Ag2 Ir2'
_symmetry_space_group_name_H-M 'C 1 2/m 1'
_symmetry_Int_Tables_number 12
_cell_length_a 6.207
_cell_length_b 3.541
_cell_length_c 8.066
_cell_angle_alpha 90.00
_cell_angle_beta 104.45
_cell_angle_gamma 90.00
loop_
_symmetry_equiv_pos_as_xyz
'x,y,z'
'-x,-y,-z'
'-x,y,-z'
'x,-y,z'
'x+1/2,y+1/2,z'
'-x+1/2,-y+1/2,-z'
'-x+1/2,y+1/2,-z'
'x+1/2,-y+1/2,z'
loop_
_atom_site_label
_atom_site_fract_x
_atom_site_fract_y
_atom_site_fract_z
Zr1 0.240 0.000 0.219
Ag1 0.000 0.000 0.500
Ir1 0.000 0.500 0.000
# **Formation energy from the elements**: -188.5 meV per atom
# **Size of the total moment**: 0.0 μB/f.u.
# **Calculated total energy**: -59.12 eV for the cell shown
# **DOS at the Fermi energy**: 5.62 states/eV per cell

***

# ZrAg2Ir, optimized geometry, DFT PBE-GGA
data_ZrAg2Ir
_chemical_formula_sum 'Zr1 Ag2 Ir1'
_symmetry_space_group_name_H-M 'P 4/m m m'
_symmetry_Int_Tables_number 123
_symmetry_space_group_name_Hall '-P 4 2'
_cell_length_a 3.871
_cell_length_b 3.871
_cell_length_c 4.783
_cell_angle_alpha 90.00
_cell_angle_beta 90.00
_cell_angle_gamma 90.00
loop_
_atom_site_label
_atom_site_fract_x
_atom_site_fract_y
_atom_site_fract_z
Zr1 0.000 0.000 0.000
Ag1 0.000 0.500 0.500
Ir1 0.500 0.500 0.000
# **Formation energy from the elements**: -142.0 meV per atom
# **Size of the total moment**: 0.0 μB/f.u.
# **Calculated total energy**: -23.68 eV for the cell shown
# **Polymorph energy (0 for the lowest one)**: 111 meV/atom
# **DOS at the Fermi energy**: 2.89 states/eV per cell

***

# Zr2AgIr, optimized geometry, DFT PBE-GGA
data_Zr2AgIr
_chemical_formula_sum 'Zr2 Ag1 Ir1'
_symmetry_space_group_name_H-M 'P 1 m 1'
_symmetry_Int_Tables_number 6
_cell_length_a 3.180
_cell_length_b 4.615
_cell_length_c 5.369
_cell_angle_alpha 90.00
_cell_angle_beta 101.56
_cell_angle_gamma 90.00
loop_
_symmetry_equiv_pos_as_xyz
'x,y,z'
'x,-y,z'
loop_
_atom_site_label
_atom_site_fract_x
_atom_site_fract_y
_atom_site_fract_z
Zr1 0.000 0.000 0.000
Zr2 0.225 0.500 0.589
Ag1 0.555 0.500 0.130
Ir1 0.687 0.000 0.484
# **Formation energy from the elements**: -398.6 meV per atom
# **Size of the total moment**: 0.0 μB/f.u.
# **Calculated total energy**: -30.40 eV for the cell shown
# **DOS at the Fermi energy**: 2.64 states/eV per cell